16
Lattice="4.577 0.000 0.000 0.000 4.577 0.000 0.000 0.000 9.208" Properties=species:S:1:pos:R:3 comment="YMg6SnO8 (PBE-GGA, optimized geometry)" relative_energy_mev_per_atom=0.0 formation_energy_uncorrected_ev_per_atom=-2.252 pbc="T T T"
Y 0.000 0.000 0.000
Mg 0.000 0.000 4.604
Mg 0.000 2.288 2.550
Mg 0.000 2.288 6.657
Mg 2.288 0.000 2.550
Mg 2.288 0.000 6.657
Mg 2.288 2.288 4.604
Sn 2.288 2.288 0.000
O 0.000 0.000 2.370
O 0.000 0.000 6.838
O 0.000 2.288 0.000
O 0.000 2.288 4.604
O 2.288 0.000 0.000
O 2.288 0.000 4.604
O 2.288 2.288 2.571
O 2.288 2.288 6.637